[1]
Density functional theory data (GGA-PBE) for crystalline NaTlHPt2 at its relaxed geometry.

Cell and atoms, written as POSCAR:
```
NaTlHPt2
1.0
4.0968 0.0000 0.0000
0.0000 4.4515 0.0000
0.0000 0.0000 4.0968
Tl Pt H Na
1 2 1 1
Cartesian
2.0484 2.2258 2.0484 Tl
0.0000 0.0000 2.0484 Pt
2.0484 0.0000 0.0000 Pt
0.0000 0.0000 0.0000 H
0.0000 2.2258 0.0000 Na
```

## Properties
**Size of the total moment**: 0.0 μB per cell
**Fermi-level density of states**: 0.228 states/eV per atom



[2]
Density functional theory data (GGA-PBE) for crystalline NaTlH6Pt at its relaxed geometry.

Cell and atoms, written as POSCAR:
```
NaTlH6Pt
1.0
-0.5494 5.0223 -1.5874
-2.2416 3.5671 3.2089
4.5350 1.1087 1.9326
H Pt Na Tl
6 1 1 1
Cartesian
-0.1265 4.0581 1.9378 H
0.8458 3.5883 -0.0636 H
0.5827 1.9456 1.4861 H
2.1187 4.8756 1.4719 H
1.8090 3.3064 3.0885 H
2.7923 2.7325 1.1205 H
1.3370 3.4178 1.5069 Pt
0.4075 6.2786 2.0470 Na
1.7442 9.6972 3.5539 Tl
```

## Properties
**Size of the total moment**: 0.0 μB per cell
**Fermi-level density of states**: 0.000 states/eV per atom



Number 1: total energy -3.9506 eV per atom. Number 2: total energy -3.4661 eV per atom.